[1]
5
Lattice="4.8429 0.0000 0.0000 0.0000 4.8429 0.0000 0.0000 0.0000 4.8429" Properties=species:S:1:pos:R:3 comment="meta-GGA SCAN Y3ScH, single point on PBEsol structure" e_tot_ev_per_atom=-20.378 spacegroup="No. 221" pbc="T T T"
Y 0.0000 0.0000 2.4214
Y 0.0000 2.4214 0.0000
Y 2.4214 0.0000 0.0000
Sc 2.4214 2.4214 2.4214
H 0.0000 0.0000 0.0000

---

[2]
6
Lattice="4.7932 -1.3017 0.0000 4.7932 1.3017 0.0000 -1.6946 0.0000 5.8908" Properties=species:S:1:pos:R:3 comment="meta-GGA SCAN Cu5Ag, single point on PBEsol structure" formation_enthalpy_0k_mev_per_atom=89 spacegroup="No. 8" pbc="T T T"
Cu 0.0000 0.0000 0.0000
Cu -0.5904 0.0000 3.6535
Cu 2.0926 0.0000 4.0602
Cu 3.3158 0.0000 1.6017
Cu 5.3198 0.0000 5.5346
Ag 5.8712 0.0000 2.0381